Run one
SrBiI2N | GGA-PBE | relaxed

abc: 6.3651 6.3651 4.4291
angles: 90.00 90.00 90.00
With the nearest neighbours (Å) after each atom.
Fractional coordinates of all 5 atoms:
Sr 0.0000 0.0000 0.0000  2 N 2.21
Bi 0.5000 0.5000 0.5000  8 I 3.88
I 0.0000 0.5000 0.0000  2 Sr 3.18
I 0.5000 0.0000 0.0000  2 Sr 3.18
N 0.0000 0.0000 0.5000  2 Sr 2.21

Spin magnetization in μB per cell: 0.213

Run two
SrBiI2N | GGA-PBE | relaxed

abc: 6.4937 6.4937 4.2804
angles: 90.00 90.00 90.00
With the nearest neighbours (Å) after each atom.
Fractional coordinates of all 5 atoms:
Sr 0.0000 0.0000 0.0000  8 I 3.89, 2 Sr 4.28
Bi 0.5000 0.5000 0.5000  2 N 2.14
I 0.0000 0.5000 0.5000  2 Bi 3.25
I 0.5000 0.0000 0.5000  2 Bi 3.25
N 0.5000 0.5000 0.0000  2 Bi 2.14

Spin magnetization in μB per cell: 0.064

Stability check: which of them is least stable? run one.

Run one
TaBiIN2 | GGA-PBE | relaxed

abc: 4.2332 4.2332 5.6259
angles: 90.00 90.00 90.00
With the nearest neighbours (Å) after each atom.
Fractional coordinates of all 5 atoms:
Ta 0.0000 0.0000 0.0000  4 N 2.12
Bi 0.5000 0.5000 0.5000  4 I 2.99
I 0.0000 0.0000 0.5000  2 Ta 2.81, 4 Bi 2.99
N 0.0000 0.5000 0.0000  2 Ta 2.12
N 0.5000 0.0000 0.0000  2 Ta 2.12

Spin magnetization in μB per cell: 0.000

Run two
TaBiIN2 | GGA-PBE | relaxed

abc: 4.3678 4.3678 6.3288
angles: 90.00 90.00 90.00
With the nearest neighbours (Å) after each atom.
Fractional coordinates of all 5 atoms:
Ta 0.0000 0.0000 0.0000  4 I 3.09
Bi 0.5000 0.5000 0.5000  4 N 2.18
I 0.5000 0.5000 0.0000  4 Ta 3.09, 2 Bi 3.16
N 0.0000 0.5000 0.5000  2 Bi 2.18
N 0.5000 0.0000 0.5000  2 Bi 2.18

Spin magnetization in μB per cell: 1.998

Stability check: which of them is least stable? run two.

Run one
TlBiI2N | GGA-PBE | relaxed

abc: 6.4827 6.4827 4.2952
angles: 90.00 90.00 90.00
With the nearest neighbours (Å) after each atom.
Fractional coordinates of all 5 atoms:
Tl 0.0000 0.0000 0.0000  8 I 3.89, 2 Tl 4.30
Bi 0.5000 0.5000 0.5000  2 N 2.15
I 0.0000 0.5000 0.5000  2 Bi 3.24
I 0.5000 0.0000 0.5000  2 Bi 3.24
N 0.5000 0.5000 0.0000  2 Bi 2.15

Spin magnetization in μB per cell: 0.273

Run two
TlBiI2N | GGA-PBE | relaxed

abc: 6.3479 6.3479 3.9790
angles: 90.00 90.00 90.00
With the nearest neighbours (Å) after each atom.
Fractional coordinates of all 5 atoms:
Tl 0.0000 0.0000 0.0000  2 N 1.99
Bi 0.5000 0.5000 0.5000  8 I 3.75, 2 Bi 3.98
I 0.0000 0.5000 0.0000  2 Tl 3.17
I 0.5000 0.0000 0.0000  2 Tl 3.17
N 0.0000 0.0000 0.5000  2 Tl 1.99

Spin magnetization in μB per cell: 0.000

Stability check: which of them is least stable? run two.

Run one
TlBiIN2 | GGA-PBE | relaxed

abc: 4.5985 4.5985 6.2991
angles: 90.00 90.00 90.00
With the nearest neighbours (Å) after each atom.
Fractional coordinates of all 5 atoms:
Tl 0.0000 0.0000 0.0000  4 N 2.30
Bi 0.5000 0.5000 0.5000  4 I 3.25
I 0.0000 0.0000 0.5000  2 Tl 3.15, 4 Bi 3.25
N 0.0000 0.5000 0.0000  2 Tl 2.30
N 0.5000 0.0000 0.0000  2 Tl 2.30

Spin magnetization in μB per cell: 2.040

Run two
TlBiIN2 | GGA-PBE | relaxed

abc: 4.6101 4.6101 6.7328
angles: 90.00 90.00 90.00
With the nearest neighbours (Å) after each atom.
Fractional coordinates of all 5 atoms:
Tl 0.0000 0.0000 0.0000  4 I 3.26
Bi 0.5000 0.5000 0.5000  4 N 2.31
I 0.5000 0.5000 0.0000  4 Tl 3.26, 2 Bi 3.37
N 0.0000 0.5000 0.5000  2 Bi 2.31
N 0.5000 0.0000 0.5000  2 Bi 2.31

Spin magnetization in μB per cell: 2.018

Stability check: which of them is least stable? run one.

Run one
VBiI2N | GGA-PBE | relaxed

abc: 6.3293 6.3293 4.1882
angles: 90.00 90.00 90.00
With the nearest neighbours (Å) after each atom.
Fractional coordinates of all 5 atoms:
V 0.0000 0.0000 0.0000  8 I 3.79, 2 V 4.19
Bi 0.5000 0.5000 0.5000  2 N 2.09
I 0.0000 0.5000 0.5000  2 Bi 3.16
I 0.5000 0.0000 0.5000  2 Bi 3.16
N 0.5000 0.5000 0.0000  2 Bi 2.09

Spin magnetization in μB per cell: 0.370

Run two
VBiI2N | GGA-PBE | relaxed

abc: 5.7445 5.7445 3.6972
angles: 90.00 90.00 90.00
With the nearest neighbours (Å) after each atom.
Fractional coordinates of all 5 atoms:
V 0.0000 0.0000 0.0000  2 N 1.85
Bi 0.5000 0.5000 0.5000  8 I 3.42, 2 Bi 3.70
I 0.0000 0.5000 0.0000  2 V 2.87
I 0.5000 0.0000 0.0000  2 V 2.87
N 0.0000 0.0000 0.5000  2 V 1.85

Spin magnetization in μB per cell: 0.000

Stability check: which of them is least stable? run one.

Run one
VBiIN2 | GGA-PBE | relaxed

abc: 4.1324 4.1324 5.2885
angles: 90.00 90.00 90.00
With the nearest neighbours (Å) after each atom.
Fractional coordinates of all 5 atoms:
V 0.0000 0.0000 0.0000  4 N 2.07
Bi 0.5000 0.5000 0.5000  4 I 2.92
I 0.0000 0.0000 0.5000  2 V 2.64, 4 Bi 2.92
N 0.0000 0.5000 0.0000  2 V 2.07
N 0.5000 0.0000 0.0000  2 V 2.07

Spin magnetization in μB per cell: 0.000

Run two
VBiIN2 | GGA-PBE | relaxed

abc: 4.3228 4.3228 6.7748
angles: 90.00 90.00 90.00
With the nearest neighbours (Å) after each atom.
Fractional coordinates of all 5 atoms:
V 0.0000 0.0000 0.0000  4 I 3.06
Bi 0.5000 0.5000 0.5000  4 N 2.16
I 0.5000 0.5000 0.0000  4 V 3.06, 2 Bi 3.39
N 0.0000 0.5000 0.5000  2 Bi 2.16
N 0.5000 0.0000 0.5000  2 Bi 2.16

Spin magnetization in μB per cell: 1.897

Stability check: which of them is least stable? run two.

Run one
YBiI2N | GGA-PBE | relaxed

abc: 6.4113 6.4113 4.1654
angles: 90.00 90.00 90.00
With the nearest neighbours (Å) after each atom.
Fractional coordinates of all 5 atoms:
Y 0.0000 0.0000 0.0000  8 I 3.82, 2 Y 4.17
Bi 0.5000 0.5000 0.5000  2 N 2.08
I 0.0000 0.5000 0.5000  2 Bi 3.21
I 0.5000 0.0000 0.5000  2 Bi 3.21
N 0.5000 0.5000 0.0000  2 Bi 2.08

Spin magnetization in μB per cell: 0.360

Run two
YBiI2N | GGA-PBE | relaxed

abc: 6.2480 6.2480 4.0838
angles: 90.00 90.00 90.00
With the nearest neighbours (Å) after each atom.
Fractional coordinates of all 5 atoms:
Y 0.0000 0.0000 0.0000  2 N 2.04
Bi 0.5000 0.5000 0.5000  8 I 3.73, 2 Bi 4.08
I 0.0000 0.5000 0.0000  2 Y 3.12
I 0.5000 0.0000 0.0000  2 Y 3.12
N 0.0000 0.0000 0.5000  2 Y 2.04

Spin magnetization in μB per cell: 0.001

Stability check: which of them is least stable? run one.

Run one
YBiIN2 | GGA-PBE | relaxed

abc: 4.5360 4.5360 6.0081
angles: 90.00 90.00 90.00
With the nearest neighbours (Å) after each atom.
Fractional coordinates of all 5 atoms:
Y 0.0000 0.0000 0.0000  4 N 2.27
Bi 0.5000 0.5000 0.5000  4 I 3.21
I 0.0000 0.0000 0.5000  2 Y 3.00, 4 Bi 3.21
N 0.0000 0.5000 0.0000  2 Y 2.27
N 0.5000 0.0000 0.0000  2 Y 2.27

Spin magnetization in μB per cell: 0.000

Run two
YBiIN2 | GGA-PBE | relaxed

abc: 4.4319 4.4319 5.9730
angles: 90.00 90.00 90.00
With the nearest neighbours (Å) after each atom.
Fractional coordinates of all 5 atoms:
Y 0.0000 0.0000 0.0000  4 I 3.13
Bi 0.5000 0.5000 0.5000  4 N 2.22
I 0.5000 0.5000 0.0000  2 Bi 2.99, 4 Y 3.13
N 0.0000 0.5000 0.5000  2 Bi 2.22
N 0.5000 0.0000 0.5000  2 Bi 2.22

Spin magnetization in μB per cell: 0.000

Stability check: which of them is least stable? run two.

Run one
ZnBiI2N | GGA-PBE | relaxed

abc: 6.0138 6.0138 3.7660
angles: 90.00 90.00 90.00
With the nearest neighbours (Å) after each atom.
Fractional coordinates of all 5 atoms:
Zn 0.0000 0.0000 0.0000  2 N 1.88
Bi 0.5000 0.5000 0.5000  8 I 3.55, 2 Bi 3.77
I 0.0000 0.5000 0.0000  2 Zn 3.01
I 0.5000 0.0000 0.0000  2 Zn 3.01
N 0.0000 0.0000 0.5000  2 Zn 1.88

Spin magnetization in μB per cell: 1.553

Run two
ZnBiI2N | GGA-PBE | relaxed

abc: 6.3468 6.3468 4.3022
angles: 90.00 90.00 90.00
With the nearest neighbours (Å) after each atom.
Fractional coordinates of all 5 atoms:
Zn 0.0000 0.0000 0.0000  8 I 3.83
Bi 0.5000 0.5000 0.5000  2 N 2.15
I 0.0000 0.5000 0.5000  2 Bi 3.17
I 0.5000 0.0000 0.5000  2 Bi 3.17
N 0.5000 0.5000 0.0000  2 Bi 2.15

Spin magnetization in μB per cell: 0.771

Stability check: which of them is least stable? run two.

Run one
ZrBiIN2 | GGA-PBE | relaxed

abc: 4.3662 4.3662 5.9398
angles: 90.00 90.00 90.00
With the nearest neighbours (Å) after each atom.
Fractional coordinates of all 5 atoms:
Zr 0.0000 0.0000 0.0000  4 I 3.09
Bi 0.5000 0.5000 0.5000  4 N 2.18
I 0.5000 0.5000 0.0000  2 Bi 2.97, 4 Zr 3.09
N 0.0000 0.5000 0.5000  2 Bi 2.18
N 0.5000 0.0000 0.5000  2 Bi 2.18

Spin magnetization in μB per cell: 0.000

Run two
ZrBiIN2 | GGA-PBE | relaxed

abc: 4.3759 4.3759 5.8079
angles: 90.00 90.00 90.00
With the nearest neighbours (Å) after each atom.
Fractional coordinates of all 5 atoms:
Zr 0.0000 0.0000 0.0000  4 N 2.19
Bi 0.5000 0.5000 0.5000  4 I 3.09
I 0.0000 0.0000 0.5000  2 Zr 2.90, 4 Bi 3.09
N 0.0000 0.5000 0.0000  2 Zr 2.19
N 0.5000 0.0000 0.0000  2 Zr 2.19

Spin magnetization in μB per cell: 0.000

Stability check: which of them is least stable? run one.

Run one
NaBiI2 | GGA-PBE | relaxed

abc: 8.9620 8.9620 8.9620
angles: 35.65 35.65 35.65
With the nearest neighbours (Å) after each atom.
Fractional coordinates of all 4 atoms:
Na 0.0000 0.0000 0.0000  2 I 2.92
Bi 0.5000 0.5000 0.5000  6 I 3.42
I 0.1160 0.1160 0.1160  1 Na 2.92
I 0.8840 0.8840 0.8840  1 Na 2.92

Spin magnetization in μB per cell: 0.000

Run two
NaBiI2 | GGA-PBE | relaxed

abc: 4.1733 4.1733 10.3640
angles: 101.53 101.53 59.96
With the nearest neighbours (Å) after each atom.
Fractional coordinates of all 4 atoms:
Na 0.0000 0.0000 0.0000  6 I 3.13
Bi 0.5000 0.5000 0.5000  2 I 3.05
I 0.3986 0.3986 0.1980  1 Bi 3.05, 3 Na 3.13
I 0.6014 0.6014 0.8020  1 Bi 3.05, 3 Na 3.13

Spin magnetization in μB per cell: 0.000

Stability check: which of them is least stable? run one.

Run one
NaBiI2 | GGA-PBE | relaxed

abc: 5.7817 5.7817 5.7817
angles: 60.00 60.00 60.00
With the nearest neighbours (Å) after each atom.
Fractional coordinates of all 4 atoms:
Na 0.0000 0.0000 0.0000  8 I 3.54
Bi 0.5000 0.5000 0.5000  8 I 3.54
I 0.2500 0.2500 0.2500  4 Bi 3.54, 4 Na 3.54
I 0.7500 0.7500 0.7500  4 Na 3.54, 4 Bi 3.54

Spin magnetization in μB per cell: 0.000

Run two
NaBiI2 | GGA-PBE | relaxed

abc: 10.5894 10.5894 10.5894
angles: 146.54 146.54 48.05
With the nearest neighbours (Å) after each atom.
Fractional coordinates of all 8 atoms:
Na 0.0000 0.0000 0.0000  4 I 3.28
Na 0.7500 0.2500 0.5000  4 I 3.28
Bi 0.2500 0.7500 0.5000  4 I 3.20
Bi 0.5000 0.5000 0.0000  4 I 3.20
I 0.1395 0.6250 0.0145  2 Bi 3.20, 2 Na 3.28
I 0.3750 0.3895 0.5145  2 Bi 3.20, 2 Na 3.28
I 0.6105 0.1250 0.9855  2 Bi 3.20, 2 Na 3.28
I 0.8750 0.8605 0.4855  2 Bi 3.20, 2 Na 3.28

Spin magnetization in μB per cell: 0.000

Stability check: which of them is least stable? run one.

Run one
Na2BiI | GGA-PBE | relaxed

abc: 10.5263 10.5263 10.5263
angles: 22.17 22.17 22.17
With the nearest neighbours (Å) after each atom.
Fractional coordinates of all 4 atoms:
Na 0.0991 0.0991 0.0991  1 Bi 3.05, 3 I 3.13
Na 0.9009 0.9009 0.9009  1 Bi 3.05, 3 I 3.13
Bi 0.0000 0.0000 0.0000  2 Na 3.05
I 0.5000 0.5000 0.5000  6 Na 3.13

Spin magnetization in μB per cell: 0.000

Run two
Na2BiI | GGA-PBE | relaxed

abc: 5.6357 5.6357 5.6357
angles: 60.00 60.00 60.00
With the nearest neighbours (Å) after each atom.
Fractional coordinates of all 4 atoms:
Na 0.2500 0.2500 0.2500  4 I 3.45, 4 Bi 3.45
Na 0.7500 0.7500 0.7500  4 I 3.45, 4 Bi 3.45
Bi 0.0000 0.0000 0.0000  8 Na 3.45
I 0.5000 0.5000 0.5000  8 Na 3.45

Spin magnetization in μB per cell: 0.299

Stability check: which of them is least stable? run two.

Run one
Rb2NaBiI6 | GGA-PBE | relaxed

abc: 8.7988 8.7988 8.7988
angles: 60.00 60.00 60.00
With the nearest neighbours (Å) after each atom.
Fractional coordinates of all 10 atoms:
Rb 0.2500 0.2500 0.2500  12 I 4.40
Rb 0.7500 0.7500 0.7500  12 I 4.40
Na 0.0000 0.0000 0.0000  6 I 3.14
Bi 0.5000 0.5000 0.5000  6 I 3.08
I 0.2526 0.2526 0.7474  1 Bi 3.08, 1 Na 3.14
I 0.2526 0.7474 0.2526  1 Bi 3.08, 1 Na 3.14
I 0.2526 0.7474 0.7474  1 Bi 3.08, 1 Na 3.14
I 0.7474 0.2526 0.2526  1 Bi 3.08, 1 Na 3.14
I 0.7474 0.2526 0.7474  1 Bi 3.08, 1 Na 3.14
I 0.7474 0.7474 0.2526  1 Bi 3.08, 1 Na 3.14

Spin magnetization in μB per cell: 0.000

Run two
Rb2NaBiI6 | GGA-PBE | relaxed

abc: 8.4881 8.9017 14.7244
angles: 90.00 124.49 90.00
With the nearest neighbours (Å) after each atom.
Fractional coordinates of all 20 atoms:
Rb 0.2196 0.0836 0.2482  6 I 3.73-3.95
Rb 0.2196 0.4164 0.7482  6 I 3.73-3.95
Rb 0.7804 0.5836 0.2518  6 I 3.73-3.95
Rb 0.7804 0.9164 0.7518  6 I 3.73-3.95
Na 0.0000 0.0000 0.5000  6 I 3.21-3.30
Na 0.0000 0.5000 0.0000  6 I 3.21-3.30
Bi 0.5000 0.0000 0.0000  6 I 3.10-3.12
Bi 0.5000 0.5000 0.5000  6 I 3.10-3.12
I 0.1506 0.1899 0.9500  1 Bi 3.12, 1 Na 3.30
I 0.1506 0.3101 0.4500  1 Bi 3.12, 1 Na 3.30
I 0.2690 0.7042 0.9535  1 Bi 3.12, 1 Na 3.28
I 0.2690 0.7958 0.4535  1 Bi 3.12, 1 Na 3.28
I 0.3552 0.0163 0.7538  1 Bi 3.10, 1 Na 3.21
I 0.3552 0.4837 0.2537  1 Bi 3.10, 1 Na 3.21
I 0.6448 0.5163 0.7462  1 Bi 3.10, 1 Na 3.21
I 0.6448 0.9837 0.2462  1 Bi 3.10, 1 Na 3.21
I 0.7310 0.2042 0.5465  1 Bi 3.12, 1 Na 3.28
I 0.7310 0.2958 0.0465  1 Bi 3.12, 1 Na 3.28
I 0.8494 0.6899 0.5500  1 Bi 3.12, 1 Na 3.30
I 0.8494 0.8101 0.0500  1 Bi 3.12, 1 Na 3.30

Spin magnetization in μB per cell: 0.000

Stability check: which of them is least stable? run one.